No. 1
A plane-wave DFT calculation with PBE was carried out for a geometry-optimized CsRbPAu structure.

Computed properties:
E_tot: -3.07 eV/atom
Offset from the most stable computed form: 0.0030 eV per atom

a = 6.832 Å, b = 6.568 Å, c = 6.568 Å
α = 109.53°, β = 90.00°, γ = 90.00°
Atoms (fractional coordinates):
Cs1 0.000 0.173 0.827
Cs2 0.000 0.827 0.173
Rb1 0.500 0.125 0.469
Rb2 0.500 0.469 0.125
P1 0.000 0.420 0.420
P2 0.500 0.873 0.873
Au1 0.252 0.645 0.645
Au2 0.748 0.645 0.645

***

No. 2
A plane-wave DFT calculation with PBE was carried out for a geometry-optimized NbCuSbMo structure.

Computed properties:
E_tot: -6.96 eV/atom
Offset from the most stable computed form: 0.0000 eV per atom
M_tot: 0.135 Bohr magnetons per cell

a = 4.574 Å, b = 4.574 Å, c = 4.574 Å
α = 60.00°, β = 60.00°, γ = 60.00°
Atoms (fractional coordinates):
Nb1 0.000 0.000 0.000
Cu1 0.750 0.750 0.750
Sb1 0.500 0.500 0.500
Mo1 0.250 0.250 0.250

***

No. 3
A plane-wave DFT calculation with PBE was carried out for a geometry-optimized TbThAs structure.

Computed properties:
E_tot: -5.21 eV/atom
M_tot: 1.912 Bohr magnetons per cell

a = 4.953 Å, b = 4.953 Å, c = 4.953 Å
α = 60.00°, β = 60.00°, γ = 60.00°
Atoms (fractional coordinates):
Tb1 0.000 0.000 0.000
Th1 0.750 0.750 0.750
As1 0.250 0.250 0.250

***

No. 4
A plane-wave DFT calculation with PBE was carried out for a geometry-optimized Lu2NiW structure.

Computed properties:
E_tot: -6.41 eV/atom
Formation energy: 0.479 eV per atom
M_tot: 0.123 Bohr magnetons per cell

a = 4.728 Å, b = 4.728 Å, c = 4.728 Å
α = 60.00°, β = 60.00°, γ = 60.00°
Atoms (fractional coordinates):
Lu1 0.000 0.000 0.000
Lu2 0.250 0.250 0.250
Ni1 0.500 0.500 0.500
W1 0.750 0.750 0.750

***

No. 5
A plane-wave DFT calculation with PBE was carried out for a geometry-optimized Zr2Si structure.

Computed properties:
E_tot: -7.53 eV/atom
M_tot: 0.008 Bohr magnetons per cell

a = 10.583 Å, b = 10.583 Å, c = 10.583 Å
α = 160.88°, β = 160.88°, γ = 27.17°
Atoms (fractional coordinates):
Zr1 0.310 0.560 0.750
Zr2 0.440 0.690 0.750
Zr3 0.560 0.310 0.250
Zr4 0.690 0.440 0.250
Si1 0.125 0.875 0.250
Si2 0.875 0.125 0.750

***

No. 6
A plane-wave DFT calculation with PBE was carried out for a geometry-optimized YNbFeGe structure.

Computed properties:
E_tot: -7.10 eV/atom
Offset from the most stable computed form: 0.0000 eV per atom
M_tot: 2.000 Bohr magnetons per cell

a = 4.590 Å, b = 4.590 Å, c = 4.590 Å
α = 60.00°, β = 60.00°, γ = 60.00°
Atoms (fractional coordinates):
Y1 0.000 0.000 0.000
Nb1 0.250 0.250 0.250
Fe1 0.750 0.750 0.750
Ge1 0.500 0.500 0.500

***

What is the formula in the first record? CsRbPAu

***

Which formula does entry 1 have? CsRbPAu